Record 1
First-principles (PBE) data for a geometry-optimized Sm2Cu17 structure, as listed in the Alexandria database.

Summary:
As for the mass density: 8571 kg/m³. The formation enthalpy at 0 K comes out at -2.13 eV per formula unit. The value obtained for the density of states at the Fermi level is 7.80 states/eV/cell. As for the total DFT energy (no corrections): -4.27 eV/atom.

Geometry as extended XYZ:
```
19
Lattice="4.2930 2.4785 4.1911 -4.2930 2.4785 4.1911 0.0000 -4.9571 4.1911" Properties=species:S:1:pos:R:3 pbc="T T T"
Sm 0.0000 0.0000 1.9914
Sm 0.0000 0.0000 10.5820
Cu -2.1465 -1.2393 4.1911
Cu 0.0000 -2.4693 4.0381
Cu -2.1385 1.2346 4.0381
Cu -1.2587 -2.1802 6.2867
Cu -2.5174 0.0000 6.2867
Cu -2.1385 -1.2347 8.5353
Cu 0.0000 0.0000 5.0591
Cu -2.1465 1.2393 8.3823
Cu 1.2587 -2.1802 6.2867
Cu 0.0000 2.4785 4.1911
Cu -1.2587 2.1802 6.2867
Cu 0.0000 0.0000 7.5143
Cu 2.1385 1.2346 4.0381
Cu 2.5174 0.0000 6.2867
Cu 1.2587 2.1802 6.2867
Cu 2.1385 -1.2346 8.5353
Cu 0.0000 2.4693 8.5353
```


Record 2
First-principles (PBE) data for a geometry-optimized InNiAg2H structure, as listed in the Alexandria database.

Summary:
As for the mass density: 9022 kg/m³. The value obtained for the density of states at the Fermi level is 2.34 states/eV/cell. As for the total DFT energy (no corrections): -3.39 eV/atom.

Geometry as extended XYZ:
```
5
Lattice="4.6436 0.0000 0.0000 0.0000 4.6436 0.0000 0.0000 0.0000 3.3312" Properties=species:S:1:pos:R:3 pbc="T T T"
In 0.0000 0.0000 0.0000
Ni 2.3218 2.3218 0.0000
Ag 0.0000 2.3218 1.6656
Ag 2.3218 0.0000 1.6656
H 2.3218 2.3218 1.6656
```


Look up the mass density of the first one. 8571 kg/m³